The following is a DFT calculation (SCAN) of GaTcMo2Pb at its PBEsol-relaxed geometry.

The structure in CIF format:
```
data_GaTcMo2Pb
_space_group_name_H-M_alt 'P 4/m m m'
_space_group_IT_number 123
_space_group_name_Hall '-P 4 2'
_cell_length_a 4.591
_cell_length_b 4.591
_cell_length_c 4.913
_cell_angle_alpha 90.00
_cell_angle_beta 90.00
_cell_angle_gamma 90.00
loop_
_atom_site_label
_atom_site_fract_x
_atom_site_fract_y
_atom_site_fract_z
Ga1 0.000 0.000 0.000
Tc1 0.500 0.500 0.500
Mo1 0.000 0.500 0.000
Pb1 0.000 0.000 0.500
```

Summary:
Calculated volume in Å³/atom: 20.714
Energy relative to the elements in meV per atom: 1883
M_tot in μB per atom: 1.082

=====

The following is a DFT calculation (SCAN) of PrAlO3 at its PBEsol-relaxed geometry.

The structure in CIF format:
```
data_PrAlO3
_space_group_name_H-M_alt 'R -3 c'
_space_group_IT_number 167
_space_group_name_Hall '-R 3 2"c'
_cell_length_a 5.3405
_cell_length_b 5.3405
_cell_length_c 12.9214
_cell_angle_alpha 90.00
_cell_angle_beta 90.00
_cell_angle_gamma 120.00
loop_
_atom_site_label
_atom_site_fract_x
_atom_site_fract_y
_atom_site_fract_z
Pr1 0.0000 0.0000 0.2500
Al1 0.0000 0.0000 0.0000
O1 0.0000 0.4536 0.2500
```

Summary:
Calculated volume in Å³/atom: 10.639
Formation energy (no corrections) in meV/atom: -3628
M_tot in μB per atom: 0.000

=====

The following is a DFT calculation (SCAN) of HfCdSbTe2 at its PBEsol-relaxed geometry.

The structure in CIF format:
```
data_HfCdSbTe2
_space_group_name_H-M_alt 'P 4/m m m'
_space_group_IT_number 123
_space_group_name_Hall '-P 4 2'
_cell_length_a 5.367
_cell_length_b 5.367
_cell_length_c 5.254
_cell_angle_alpha 90.00
_cell_angle_beta 90.00
_cell_angle_gamma 90.00
loop_
_atom_site_label
_atom_site_fract_x
_atom_site_fract_y
_atom_site_fract_z
Hf1 0.000 0.000 0.000
Cd1 0.500 0.500 0.500
Sb1 0.500 0.500 0.000
Te1 0.000 0.500 0.500
```

Summary:
Calculated volume in Å³/atom: 30.267
Formation energy (no corrections) in meV/atom: 931
M_tot in μB per atom: 0.000

=====

The following is a DFT calculation (SCAN) of Zn2CoPt at its PBEsol-relaxed geometry.

The structure in CIF format:
```
data_Zn2CoPt
_space_group_name_H-M_alt 'R -3 m'
_space_group_IT_number 166
_space_group_name_Hall '-R 3 2"'
_cell_length_a 2.7121
_cell_length_b 2.7121
_cell_length_c 24.6528
_cell_angle_alpha 90.00
_cell_angle_beta 90.00
_cell_angle_gamma 120.00
loop_
_atom_site_label
_atom_site_fract_x
_atom_site_fract_y
_atom_site_fract_z
Zn1 0.0000 0.0000 0.2450
Co1 0.0000 0.0000 0.5000
Pt1 0.0000 0.0000 0.0000
```

Summary:
Calculated volume in Å³/atom: 13.087
Energy relative to the elements in meV per atom: -183
M_tot in μB per atom: 0.414

=====

The following is a DFT calculation (SCAN) of K3TbB2O6 at its PBEsol-relaxed geometry.

The structure in CIF format:
```
data_K3TbB2O6
_space_group_name_H-M_alt 'P n n m'
_space_group_IT_number 58
_cell_length_a 6.796
_cell_length_b 9.375
_cell_length_c 5.536
_cell_angle_alpha 90.00
_cell_angle_beta 90.00
_cell_angle_gamma 90.00
loop_
_space_group_symop_operation_xyz
'x,y,z'
'-x,-y,-z'
'-x,-y,z'
'x,y,-z'
'x+1/2,-y+1/2,-z+1/2'
'-x+1/2,y+1/2,z+1/2'
'-x+1/2,y+1/2,-z+1/2'
'x+1/2,-y+1/2,z+1/2'
loop_
_atom_site_label
_atom_site_fract_x
_atom_site_fract_y
_atom_site_fract_z
K1 0.000 0.000 0.000
K2 0.226 0.332 0.000
Tb1 0.000 0.500 0.500
B1 0.237 0.666 0.000
O1 0.193 0.305 0.500
O2 0.201 0.596 0.217
```

Summary:
Calculated volume in Å³/atom: 14.695
Formation energy (no corrections) in meV/atom: -2732
M_tot in μB per atom: 0.000

=====

The following is a DFT calculation (SCAN) of Ir2PtBr at its PBEsol-relaxed geometry.

The structure in CIF format:
```
data_Ir2PtBr
_space_group_name_H-M_alt 'C 1 m 1'
_space_group_IT_number 8
_cell_length_a 12.416
_cell_length_b 2.804
_cell_length_c 4.398
_cell_angle_alpha 90.00
_cell_angle_beta 96.11
_cell_angle_gamma 90.00
loop_
_space_group_symop_operation_xyz
'x,y,z'
'x,-y,z'
'x+1/2,y+1/2,z'
'x+1/2,-y+1/2,z'
loop_
_atom_site_label
_atom_site_fract_x
_atom_site_fract_y
_atom_site_fract_z
Ir1 0.000 0.000 0.000
Ir2 0.149 0.500 0.291
Pt1 0.464 0.000 0.493
Br1 0.274 0.000 0.647
```

Summary:
Calculated volume in Å³/atom: 19.030
Formation energy (no corrections) in meV/atom: 698
M_tot in μB per atom: 0.000

=====

The following is a DFT calculation (SCAN) of LiY3In at its PBEsol-relaxed geometry.

The structure in CIF format:
```
data_LiY3In
_space_group_name_H-M_alt 'P m -3 m'
_space_group_IT_number 221
_space_group_name_Hall '-P 4 2 3'
_cell_length_a 5.136
_cell_length_b 5.136
_cell_length_c 5.136
_cell_angle_alpha 90.00
_cell_angle_beta 90.00
_cell_angle_gamma 90.00
loop_
_atom_site_label
_atom_site_fract_x
_atom_site_fract_y
_atom_site_fract_z
Li1 0.000 0.000 0.000
Y1 0.000 0.000 0.500
In1 0.500 0.500 0.500
```

Summary:
Calculated volume in Å³/atom: 27.090
Energy relative to the elements in meV per atom: 237
M_tot in μB per atom: 0.376

=====

The following is a DFT calculation (SCAN) of TlRh2W at its PBEsol-relaxed geometry.

The structure in CIF format:
```
data_TlRh2W
_space_group_name_H-M_alt 'C m m m'
_space_group_IT_number 65
_space_group_name_Hall '-C 2 2'
_cell_length_a 5.822
_cell_length_b 7.552
_cell_length_c 2.854
_cell_angle_alpha 90.00
_cell_angle_beta 90.00
_cell_angle_gamma 90.00
loop_
_atom_site_label
_atom_site_fract_x
_atom_site_fract_y
_atom_site_fract_z
Tl1 0.000 0.000 0.000
Rh1 0.250 0.250 0.500
W1 0.000 0.500 0.000
```

Summary:
Calculated volume in Å³/atom: 15.686
Energy relative to the elements in meV per atom: 284
M_tot in μB per atom: 0.000